(1)
ZrAl2As GGA-PBEsol relaxed; symmetry = Cmmm, No. 65
1.0
3.138 0.000 0.000
0.000 5.022 0.010
0.000 -2.110 4.557
As Al Zr
1 2 1
Cartesian
1.569 0.000 0.000
0.000 2.511 0.005
0.000 -1.055 2.279
1.569 1.456 2.283



(2)
Zr2AlAs GGA-PBEsol relaxed; offset from the most stable computed form = 249 meV/atom; symmetry = P4/mmm, No. 123
1.0
-2.104 -1.604 -2.157
2.543 -2.076 -0.937
-1.629 -4.086 4.628
As Al Zr
1 1 2
Cartesian
-0.595 -3.883 0.767
0.220 -1.840 -1.547
-1.198 -3.005 3.403
-0.431 -1.081 1.225



(3)
Zr2AlAs GGA-PBEsol relaxed; offset from the most stable computed form = 181 meV/atom; symmetry = R-3m, No. 166
1.0
-3.573 0.011 -0.933
-1.076 -1.484 -3.205
-2.372 -6.548 1.701
As Al Zr
1 1 2
Cartesian
0.000 0.000 0.000
-3.510 -4.011 -1.219
-1.742 -1.907 -0.659
-5.279 -6.115 -1.778



(4)
Zr2AlAs GGA-PBEsol relaxed; offset from the most stable computed form = 282 meV/atom; symmetry = I4/mmm, No. 139
1.0
-3.516 -1.371 2.050
-1.367 -1.888 -3.607
4.351 -1.724 1.810
As Al Zr
1 1 2
Cartesian
0.000 0.000 0.000
-2.441 -1.630 -0.779
-0.803 -2.363 1.541
0.271 -2.621 -1.288



(5)
AlAu4 GGA-PBEsol relaxed; offset from the most stable computed form = 0 meV/atom; symmetry = P2_13, No. 198
1.0
6.911 0.000 0.000
0.000 6.911 0.000
0.000 0.000 6.911
Al Au
4 16
Cartesian
3.891 3.891 3.891
6.476 3.021 0.435
3.021 0.435 6.476
0.435 6.476 3.021
1.267 1.267 1.267
2.189 5.644 4.723
5.644 4.723 2.189
4.723 2.189 5.644
1.984 3.111 6.108
1.472 3.800 2.652
4.927 6.567 4.259
5.440 0.344 0.804
6.108 1.984 3.111
2.652 1.472 3.800
4.259 4.927 6.567
0.804 5.440 0.344
3.111 6.108 1.984
3.800 2.652 1.472
6.567 4.259 4.927
0.344 0.804 5.440



(6)
Al3Au GGA-PBEsol relaxed; symmetry = Cmmm, No. 65
1.0
2.953 0.000 0.000
0.000 4.810 0.028
0.000 -1.668 4.512
Au Al
1 3
Cartesian
0.000 0.000 0.000
1.477 -0.834 2.256
1.477 2.405 0.014
0.000 1.571 2.270



(7)
AlAu2 GGA-PBEsol relaxed; symmetry = I4/mcm, No. 140
1.0
-4.756 1.958 0.775
0.523 -3.161 -4.098
1.707 -3.335 3.608
Au Al
4 2
Cartesian
-1.907 -0.632 -0.300
-0.619 -3.906 0.585
0.286 -3.394 -2.094
-2.811 -1.144 2.379
1.673 -4.872 -0.367
0.558 -1.624 -0.122



(8)
AlAu2 GGA-PBEsol relaxed; symmetry = P4/mmm, No. 123
1.0
-0.148 -1.991 1.961
3.814 -1.734 -1.473
2.263 2.595 2.805
Au Al
2 1
Cartesian
1.058 0.302 2.383
1.833 -1.862 0.244
0.000 0.000 0.000



(9)
AlAu2 GGA-PBEsol relaxed; symmetry = C2/m, No. 12
1.0
3.277 0.000 0.000
-1.638 5.003 0.000
0.000 -2.248 6.045
Au Al
4 2
Cartesian
0.000 0.253 3.227
0.000 4.066 1.063
1.638 -1.311 4.982
1.638 2.502 2.818
1.638 1.332 5.160
0.000 1.423 0.885



(10)
Al7Au GGA-PBEsol relaxed; symmetry = Fm-3m, No. 225
1.0
-4.102 -3.523 1.654
0.749 -3.274 4.549
-2.886 1.052 4.747
Au Al
1 7
Cartesian
0.000 0.000 0.000
-1.443 0.526 2.374
0.375 -1.637 2.274
-2.051 -1.762 0.827
-1.676 -3.399 3.102
-3.494 -1.236 3.201
-1.069 -1.111 4.648
-3.119 -2.873 5.475



(11)
Al2Au GGA-PBEsol relaxed; symmetry = I4/mcm, No. 140
1.0
5.131 -0.011 0.000
-2.285 4.594 0.000
-1.423 -2.291 4.365
Au Al
2 4
Cartesian
2.134 3.437 0.000
0.711 1.146 0.000
3.277 1.140 0.871
-1.854 1.151 3.494
0.740 -0.459 2.183
0.683 2.751 2.183



(12)
AlAu2 GGA-PBEsol relaxed; symmetry = P-3m1, No. 164
1.0
2.994 0.000 0.000
-1.497 2.593 0.000
0.000 0.000 6.365
Au Al
2 1
Cartesian
0.000 1.729 1.986
1.497 0.864 4.379
0.000 0.000 0.000



Energy relative to the elements values, unit eV per atom, following the record order: -0.273 -0.585 -0.652 -0.551 -0.236 -0.167 -0.257 -0.246 -0.317 -0.093 -0.239 -0.248.
Final energy values, unit eV/atom, following the record order: -5.8682 -7.4294 -7.4968 -7.3957 -4.1931 -4.2165 -4.2372 -4.2257 -4.2972 -4.1639 -4.2750 -4.2282.